[1]
First-principles (PBE) data for Ac4Ag2PtRh after structural relaxation, as listed in the Alexandria database.

Cell lengths 7.655, 4.413, 8.058 Å; angles 90.00, 108.37, 90.00 degrees
Fractional coordinates of all 8 atoms:
Ac: 0.234 0.000 0.217
Ac: 0.256 0.500 0.782
Ac: 0.744 0.500 0.218
Ac: 0.766 0.000 0.783
Ag: 0.000 0.000 0.500
Ag: 0.500 0.500 0.500
Pt: 0.500 0.000 0.000
Rh: 0.000 0.500 0.000

## Properties
E	-5.041	eV/atom
formation energy from the elements	-0.60	eV per atom

[2]
First-principles (PBE) data for Ac2AgSb4Pt3 after structural relaxation, as listed in the Alexandria database.

Cell lengths 4.797, 4.797, 10.660 Å; angles 90.00, 90.00, 90.00 degrees
Fractional coordinates of all 10 atoms:
Ac: 0.000 0.500 0.245
Ac: 0.500 0.000 0.755
Ag: 0.500 0.500 0.000
Sb: 0.000 0.000 0.500
Sb: 0.000 0.500 0.868
Sb: 0.500 0.000 0.132
Sb: 0.500 0.500 0.500
Pt: 0.000 0.000 0.000
Pt: 0.000 0.500 0.619
Pt: 0.500 0.000 0.381

## Properties
formation energy from raw total energies	-0.816	eV per atom
E	-5.384	eV/atom

[3]
First-principles (PBE) data for Ac2SiAgPt6 after structural relaxation, as listed in the Alexandria database.

Cell lengths 6.600, 6.600, 8.573 Å; angles 126.32, 126.32, 49.86 degrees
Fractional coordinates of all 10 atoms:
Ac: 0.234 0.234 0.198
Ac: 0.766 0.766 0.802
Si: 0.000 0.000 0.500
Ag: 0.500 0.500 0.000
Pt: 0.248 0.248 0.600
Pt: 0.251 0.740 0.720
Pt: 0.260 0.749 0.280
Pt: 0.740 0.251 0.720
Pt: 0.749 0.260 0.280
Pt: 0.752 0.752 0.400

## Properties
formation energy from raw total energies	-0.828	eV per atom
E	-6.101	eV/atom

[4]
First-principles (PBE) data for Ac3Si2AgPt9 after structural relaxation, as listed in the Alexandria database.

Cell lengths 5.892, 5.892, 10.948 Å; angles 90.00, 90.00, 120.00 degrees
Fractional coordinates of all 15 atoms:
Ac: 0.000 0.000 0.000
Ac: 0.333 0.667 0.607
Ac: 0.667 0.333 0.393
Si: 0.333 0.667 0.159
Si: 0.667 0.333 0.841
Ag: 0.000 0.000 0.500
Pt: 0.000 0.500 0.000
Pt: 0.160 0.320 0.299
Pt: 0.160 0.840 0.299
Pt: 0.320 0.160 0.701
Pt: 0.500 0.000 0.000
Pt: 0.500 0.500 0.000
Pt: 0.680 0.840 0.299
Pt: 0.840 0.160 0.701
Pt: 0.840 0.680 0.701

## Properties
formation energy from raw total energies	-0.775	eV per atom
E	-6.135	eV/atom

[5]
First-principles (PBE) data for Ac2Si3AgPt12 after structural relaxation, as listed in the Alexandria database.

Cell lengths 7.821, 7.821, 7.821 Å; angles 64.61, 64.61, 64.61 degrees
Fractional coordinates of all 18 atoms:
Ac: 0.113 0.113 0.113
Ac: 0.887 0.887 0.887
Si: 0.000 0.500 0.500
Si: 0.500 0.000 0.500
Si: 0.500 0.500 0.000
Ag: 0.500 0.500 0.500
Pt: 0.118 0.629 0.629
Pt: 0.150 0.150 0.600
Pt: 0.150 0.600 0.150
Pt: 0.371 0.371 0.882
Pt: 0.371 0.882 0.371
Pt: 0.400 0.850 0.850
Pt: 0.600 0.150 0.150
Pt: 0.629 0.118 0.629
Pt: 0.629 0.629 0.118
Pt: 0.850 0.400 0.850
Pt: 0.850 0.850 0.400
Pt: 0.882 0.371 0.371

## Properties
formation energy from raw total energies	-0.439	eV per atom
E	-5.985	eV/atom

[6]
First-principles (PBE) data for AcAgSnPt3 after structural relaxation, as listed in the Alexandria database.

Cell lengths 6.800, 6.800, 7.543 Å; angles 90.00, 90.00, 127.98 degrees
Fractional coordinates of all 12 atoms:
Ac: 0.168 0.832 0.750
Ac: 0.832 0.168 0.250
Ag: 0.415 0.585 0.750
Ag: 0.585 0.415 0.250
Sn: 0.127 0.873 0.250
Sn: 0.873 0.127 0.750
Pt: 0.236 0.236 0.000
Pt: 0.236 0.236 0.500
Pt: 0.345 0.655 0.250
Pt: 0.655 0.345 0.750
Pt: 0.764 0.764 0.000
Pt: 0.764 0.764 0.500

## Properties
E	-5.325	eV/atom
formation energy from the elements	-0.48	eV per atom

[7]
First-principles (PBE) data for AcAgSn2Pt4 after structural relaxation, as listed in the Alexandria database.

Cell lengths 9.753, 9.753, 9.753 Å; angles 26.90, 26.90, 26.90 degrees
Fractional coordinates of all 8 atoms:
Ac: 0.000 0.000 0.000
Ag: 0.500 0.500 0.500
Sn: 0.237 0.237 0.237
Sn: 0.763 0.763 0.763
Pt: 0.133 0.133 0.133
Pt: 0.401 0.401 0.401
Pt: 0.599 0.599 0.599
Pt: 0.867 0.867 0.867

## Properties
E	-5.466	eV/atom
formation energy from the elements	-0.57	eV per atom

[8]
First-principles (PBE) data for Ac2AgSn4Pt3 after structural relaxation, as listed in the Alexandria database.

Cell lengths 4.721, 4.721, 10.892 Å; angles 90.00, 90.00, 90.00 degrees
Fractional coordinates of all 10 atoms:
Ac: 0.000 0.500 0.245
Ac: 0.500 0.000 0.755
Ag: 0.500 0.500 0.000
Sn: 0.000 0.000 0.500
Sn: 0.000 0.500 0.868
Sn: 0.500 0.000 0.132
Sn: 0.500 0.500 0.500
Pt: 0.000 0.000 0.000
Pt: 0.000 0.500 0.624
Pt: 0.500 0.000 0.376

## Properties
E	-5.325	eV/atom
formation energy from the elements	-0.81	eV per atom

[9]
First-principles (PBE) data for SrAcAgPt after structural relaxation, as listed in the Alexandria database.

Cell lengths 5.398, 5.398, 5.398 Å; angles 60.00, 60.00, 60.00 degrees
Fractional coordinates of all 4 atoms:
Sr: 0.000 0.000 0.000
Ac: 0.500 0.500 0.500
Ag: 0.750 0.750 0.750
Pt: 0.250 0.250 0.250

## Properties
E	-4.248	eV/atom
polymorph energy (0 for the lowest one)	99.9	meV per atom
formation energy from the elements	-0.58	eV per atom

[10]
First-principles (PBE) data for SrAcAgPt after structural relaxation, as listed in the Alexandria database.

Cell lengths 4.530, 6.432, 6.432 Å; angles 38.98, 90.00, 90.00 degrees
Fractional coordinates of all 4 atoms:
Sr: 0.000 0.000 0.000
Ac: 0.500 0.724 0.724
Ag: 0.500 0.432 0.432
Pt: 0.000 0.268 0.268

## Properties
E	-4.348	eV/atom
polymorph energy (0 for the lowest one)	0.0	meV per atom
formation energy from the elements	-0.68	eV per atom

[11]
First-principles (PBE) data for AcTbAgPt after structural relaxation, as listed in the Alexandria database.

Cell lengths 5.269, 5.269, 5.269 Å; angles 60.00, 60.00, 60.00 degrees
Fractional coordinates of all 4 atoms:
Ac: 0.000 0.000 0.000
Tb: 0.500 0.500 0.500
Ag: 0.750 0.750 0.750
Pt: 0.250 0.250 0.250

## Properties
E	-5.044	eV/atom
formation energy from the elements	-0.64	eV per atom

[12]
First-principles (PBE) data for AcThAgPt after structural relaxation, as listed in the Alexandria database.

Cell lengths 5.321, 5.321, 5.321 Å; angles 60.00, 60.00, 60.00 degrees
Fractional coordinates of all 4 atoms:
Ac: 0.000 0.000 0.000
Th: 0.500 0.500 0.500
Ag: 0.750 0.750 0.750
Pt: 0.250 0.250 0.250

## Properties
E	-5.606	eV/atom
formation energy from the elements	-0.50	eV per atom